Computed, not measured: a relaxed ZnSnPd crystal at the PBE level of DFT.

abc: 3.2598 3.2598 21.0282
angles: 90.00 90.00 90.00
Closest atoms and distances in Å follow each position.
Space group I4/mmm (No. 139)
One atom of each set of equivalent atoms:
Zn 0.0000 0.0000 0.2171 x4  4 Zn 2.69, 5 Pd 2.73-2.84
Sn 0.0000 0.0000 0.0706 x4  4 Pd 2.82, 1 Sn 2.97, 1 Zn 3.08
Pd 0.0000 0.0000 0.3521 x4  5 Zn 2.73-2.84, 4 Sn 2.82

Uncorrected energy (eV/atom): -3.833
DOS at the Fermi energy (states/eV per cell): 3.46